(1)
VASP calculation (PBE) on crystalline Co2MoOs at its relaxed geometry.

The structure in POSCAR format:
```
Co2MoOs
1.0
-1.943 1.793 -3.701
-4.505 -0.600 0.182
2.970 1.691 3.001
Os Mo Co
1 1 2
direct
0.250 0.750 0.500
0.750 0.250 0.500
0.000 0.000 0.000
0.500 0.500 0.000
```

Output
**Final energy**: -36.0 eV for the cell shown
**Magnetization**: 0.3 μB per cell
**Fermi-level density of states**: 1.10 states/eV per atom
**Formation enthalpy at 0 K**: 1.31 kcal/mol of atoms

***

(2)
VASP calculation (PBE) on crystalline P3C at its relaxed geometry.

The structure in POSCAR format:
```
P3C
1.0
4.075 -0.001 0.000
0.001 4.075 0.000
0.000 0.000 2.874
P C
3 1
direct
0.500 0.500 0.000
0.500 0.000 0.500
0.000 0.500 0.500
0.000 0.000 0.000
```

Output
**Final energy**: -18.9 eV for the cell shown
**Magnetization**: 0.0 μB per cell
**Fermi-level density of states**: 0.42 states/eV per atom
**Formation enthalpy at 0 K**: 37.97 kcal/mol of atoms

***

(3)
VASP calculation (PBE) on crystalline Y2ZnCu2 at its relaxed geometry.

The structure in POSCAR format:
```
Y2ZnCu2
1.0
5.448 0.000 0.000
0.000 5.448 0.000
2.724 2.724 3.649
Cu Zn Y
2 1 2
direct
0.346 0.346 0.307
0.654 0.654 0.693
0.000 0.000 0.000
0.250 0.750 0.500
0.750 0.250 0.500
```

Output
**Final energy**: -22.8 eV for the cell shown
**Magnetization**: 0.0 μB per cell
**Fermi-level density of states**: 0.22 states/eV per atom
**Formation enthalpy at 0 K**: -2.02 kcal/mol of atoms